# Li6Ag2HO | Alexandria via LeMat-Bulk | GGA-PBE | relaxed
data_Li6Ag2HO
_chemical_formula_sum 'Li12 Ag4 H2 O2'
_space_group_name_H-M_alt 'C 1 2/m 1'
_space_group_IT_number 12
_space_group_name_Hall '-C 2y'
_cell_length_a 8.0962
_cell_length_b 8.1039
_cell_length_c 5.7168
_cell_angle_alpha 90.00
_cell_angle_beta 134.65
_cell_angle_gamma 90.00
loop_
_atom_site_label
_atom_site_type_symbol
_atom_site_fract_x
_atom_site_fract_y
_atom_site_fract_z
_atom_site_occupancy
Li1 Li 0.0000 0.2375 0.0000 1
Li2 Li 0.2374 0.0000 0.4745 1
Li3 Li 0.2382 0.0000 0.0005 1
Ag1 Ag 0.0000 0.2500 0.5000 1
H1 H 0.0000 0.5000 0.0000 1
O1 O 0.0000 0.0000 0.0000 1
# Total energy ... -63.26 eV for the cell shown